{"formula": "Ho3Sb2O", "functional": "GGA-PBE", "state": "relaxed", "dos_ef_per_ev_cell": 6.81, "space_group": "No. 36", "e_form_raw_mev_per_atom": -1507, "dft_energy_ev_per_atom": -5.9960, "m_tot_mub_per_cell": 0.000, "cell": [[-6.0154, 1.5777, -1.5726], [-2.3677, -5.3773, 3.6621], [0.3184, 5.4536, 4.2533]], "species": ["Sb", "Ho", "Ho", "Ho", "Sb", "O", "Ho", "Sb", "Ho", "Ho", "Sb", "O"], "fractional_positions": [[0.2484, 0.5244, 0.8302], [0.0066, 0.1535, 0.8497], [0.0066, 0.8497, 0.1535], [0.3087, 0.3518, 0.3518], [0.7484, 0.4756, 0.1698], [0.7493, 0.9223, 0.9223], [0.5066, 0.8465, 0.1503], [0.7484, 0.1698, 0.4756], [0.8087, 0.6482, 0.6482], [0.5066, 0.1503, 0.8465], [0.2484, 0.8302, 0.5244], [0.2493, 0.0777, 0.0777]]}



{"formula": "Ho8Sb3O8", "functional": "GGA-PBE", "state": "relaxed", "dos_ef_per_ev_cell": 2.31, "space_group": "No. 5", "e_form_raw_mev_per_atom": -2853, "dft_energy_ev_per_atom": -7.5193, "m_tot_mub_per_cell": 0.000, "cell": [[-5.0148, -4.6701, -0.6712], [-2.7771, -5.1539, -3.6241], [5.2953, -12.6962, 6.0929]], "species": ["O", "Ho", "O", "O", "Ho", "Ho", "Sb", "Ho", "O", "Ho", "Ho", "Sb", "O", "O", "O", "Sb", "Ho", "Ho", "O"], "fractional_positions": [[0.5272, 0.5322, 0.3747], [0.3542, 0.3594, 0.4326], [0.8306, 0.8356, 0.5156], [0.8801, 0.8855, 0.7983], [0.5432, 0.5486, 0.1648], [0.8760, 0.8810, 0.6526], [0.1681, 0.1726, 0.7332], [0.4514, 0.4568, 0.8352], [0.1145, 0.1199, 0.2017], [0.1190, 0.1240, 0.3474], [0.6406, 0.6458, 0.5674], [0.9964, 0.0036, 0.0000], [0.2934, 0.2990, 0.9347], [0.4678, 0.4728, 0.6253], [0.1644, 0.1694, 0.4844], [0.8274, 0.8319, 0.2668], [0.2776, 0.2832, 0.0887], [0.7168, 0.7224, 0.9113], [0.7010, 0.7066, 0.0653]]}



{"formula": "Ho2Sb2O7", "functional": "GGA-PBE", "state": "relaxed", "dos_ef_per_ev_cell": 0.00, "space_group": "No. 74", "de_polymorph_ev_per_fu": 0.53, "e_form_raw_mev_per_atom": -2338, "dft_energy_ev_per_atom": -7.0749, "m_tot_mub_per_cell": 0.000, "cell": [[-0.1139, -6.6409, -3.5596], [5.4106, -2.5430, 4.5874], [-6.4678, 2.7508, 2.7177]], "species": ["Sb", "O", "O", "O", "O", "O", "Ho", "O", "O", "Sb", "O", "O", "O", "O", "Sb", "Ho", "Ho", "O", "O", "O", "Ho", "Sb"], "fractional_positions": [[0.0000, 0.5000, 0.5000], [0.8827, 0.1724, 0.8080], [0.6356, 0.8276, 0.7102], [0.6173, 0.4253, 0.2898], [0.3827, 0.5747, 0.7102], [0.2500, 0.5215, 0.2715], [0.0000, 0.0000, 0.0000], [0.1173, 0.8276, 0.1920], [0.6189, 0.8699, 0.2510], [0.5000, 0.5000, 0.5000], [0.8644, 0.5747, 0.1920], [0.7500, 0.4785, 0.7285], [0.8811, 0.1322, 0.2510], [0.3644, 0.1724, 0.2898], [0.0000, 0.5000, 0.0000], [0.5000, 0.5000, 0.0000], [0.0000, 0.0000, 0.5000], [0.3811, 0.1301, 0.7490], [0.1189, 0.8678, 0.7490], [0.1356, 0.4253, 0.8080], [0.5000, 0.0000, 0.0000], [0.5000, 0.0000, 0.5000]]}



{"formula": "Ho3SbO6", "functional": "GGA-PBE", "state": "relaxed", "dos_ef_per_ev_cell": 0.00, "space_group": "No. 148", "e_form_raw_mev_per_atom": -2941, "dft_energy_ev_per_atom": -7.7012, "m_tot_mub_per_cell": 0.000, "cell": [[-4.5437, -4.6620, -1.7291], [3.7474, -1.3941, -5.4205], [3.4135, -4.4587, 3.7197]], "species": ["O", "O", "O", "O", "Ho", "Ho", "O", "Sb", "O", "O", "O", "O", "Ho", "Sb", "Ho", "O", "O", "Ho", "O", "Ho"], "fractional_positions": [[0.1014, 0.9264, 0.6799], [0.3930, 0.1768, 0.5248], [0.4752, 0.6070, 0.8232], [0.8986, 0.0736, 0.3201], [0.7484, 0.4444, 0.9347], [0.0653, 0.2516, 0.5556], [0.5248, 0.3930, 0.1768], [0.5000, 0.5000, 0.5000], [0.6070, 0.8232, 0.4752], [0.1768, 0.5248, 0.3930], [0.8232, 0.4752, 0.6070], [0.3201, 0.8986, 0.0736], [0.9347, 0.7484, 0.4444], [0.0000, 0.0000, 0.0000], [0.2516, 0.5556, 0.0653], [0.0736, 0.3201, 0.8986], [0.9264, 0.6799, 0.1014], [0.4444, 0.9347, 0.7484], [0.6799, 0.1014, 0.9264], [0.5556, 0.0653, 0.2516]]}